Record 1
VASP calculation (PBE) on PmPr2Cu4 after structural relaxation.

Output
Formation enthalpy at 0 K ... -0.1782 eV/atom
Symmetry ... No. 71
DFT total energy ... -0.3354 Ry per atom

Unit cell a=3.7954 b=4.3523 c=19.0028 alpha=90.00 beta=90.00 gamma=90.00
With the nearest neighbours (Å) after each atom.
Element x y z (fractional)
Pm1 0.0000 0.0000 0.0000  12 Cu 3.13-3.16
Pm2 0.5000 0.5000 0.5000  12 Cu 3.13-3.16
Pr1 0.0000 0.5000 0.1831  6 Cu 2.96-3.04
Pr2 0.0000 0.5000 0.8169  6 Cu 2.96-3.04
Pr3 0.5000 0.0000 0.3169  6 Cu 2.96-3.04
Pr4 0.5000 0.0000 0.6831  6 Cu 2.96-3.04
Cu1 0.0000 0.0000 0.4361  3 Cu 2.43-2.54
Cu2 0.0000 0.0000 0.5639  3 Cu 2.43-2.54
Cu3 0.0000 0.5000 0.3670  2 Cu 2.54
Cu4 0.0000 0.5000 0.6330  2 Cu 2.54
Cu5 0.5000 0.0000 0.1330  2 Cu 2.54
Cu6 0.5000 0.0000 0.8670  2 Cu 2.54
Cu7 0.5000 0.5000 0.0639  3 Cu 2.43-2.54
Cu8 0.5000 0.5000 0.9361  3 Cu 2.43-2.54

***

Record 2
VASP calculation (PBE) on LiDy3Si6Pd2 after structural relaxation.

Output
Symmetry ... No. 164
DFT total energy ... -0.3923 Ry per atom
Uncorrected formation energy ... -43.5 kJ/mol of atoms

Unit cell a=5.6987 b=5.6987 c=8.0002 alpha=90.00 beta=90.00 gamma=120.00
With the nearest neighbours (Å) after each atom.
Element x y z (fractional)
Li1 0.0000 0.0000 0.0000  6 Si 2.58
Dy1 0.0000 0.0000 0.5000  6 Si 2.91
Dy2 0.3333 0.6667 0.1084  9 Si 2.99-3.00, 1 Pd 3.31
Dy3 0.6667 0.3333 0.8916  9 Si 2.99-3.00, 1 Pd 3.31
Si1 0.1903 0.3806 0.7783  2 Si 2.45, 1 Pd 2.49, 1 Li 2.58
Si2 0.1903 0.8097 0.7783  2 Si 2.45, 1 Pd 2.49, 1 Li 2.58
Si3 0.3806 0.1903 0.2217  2 Si 2.45, 1 Pd 2.49, 1 Li 2.58
Si4 0.6194 0.8097 0.7783  2 Si 2.45, 1 Pd 2.49, 1 Li 2.58
Si5 0.8097 0.1903 0.2217  2 Si 2.45, 1 Pd 2.49, 1 Li 2.58
Si6 0.8097 0.6194 0.2217  2 Si 2.45, 1 Pd 2.49, 1 Li 2.58
Pd1 0.3333 0.6667 0.5226  3 Si 2.49
Pd2 0.6667 0.3333 0.4774  3 Si 2.49

***

Record 3
VASP calculation (PBE) on YbSm3 after structural relaxation.

Output
Formation enthalpy at 0 K ... 0.0068 eV/atom
Relative energy among the computed polymorphs ... 0.03 eV/f.u.
Symmetry ... No. 194
DFT total energy ... -0.2877 Ry per atom

Unit cell a=7.3393 b=7.3393 c=5.8532 alpha=90.00 beta=90.00 gamma=120.00
With the nearest neighbours (Å) after each atom.
Element x y z (fractional)
Yb1 0.3333 0.6667 0.2500  12 Sm 3.62-3.67
Yb2 0.6667 0.3333 0.7500  12 Sm 3.62-3.67
Sm1 0.1652 0.3304 0.7500  8 Sm 3.60-3.70, 4 Yb 3.62-3.67
Sm2 0.1652 0.8348 0.7500  8 Sm 3.60-3.70, 4 Yb 3.62-3.67
Sm3 0.3304 0.1652 0.2500  8 Sm 3.60-3.70, 4 Yb 3.62-3.67
Sm4 0.6696 0.8348 0.7500  8 Sm 3.60-3.70, 4 Yb 3.62-3.67
Sm5 0.8348 0.1652 0.2500  8 Sm 3.60-3.70, 4 Yb 3.62-3.67
Sm6 0.8348 0.6696 0.2500  8 Sm 3.60-3.70, 4 Yb 3.62-3.67

***

Record 4
VASP calculation (PBE) on TlCo4Si after structural relaxation.

Output
Symmetry ... No. 216
DFT total energy ... -0.4141 Ry per atom
Uncorrected formation energy ... 38.7 kJ/mol of atoms

Unit cell a=4.8705 b=4.8705 c=4.8705 alpha=60.00 beta=60.00 gamma=60.00
With the nearest neighbours (Å) after each atom.
Element x y z (fractional)
Tl1 0.0000 0.0000 0.0000  12 Co 2.86, 4 Si 2.98
Co1 0.1272 0.6243 0.6243  6 Co 2.42-2.45
Co2 0.6243 0.1272 0.6243  6 Co 2.42-2.45
Co3 0.6243 0.6243 0.1272  6 Co 2.42-2.45
Co4 0.6243 0.6243 0.6243  6 Co 2.42-2.45
Si1 0.2500 0.2500 0.2500  12 Co 2.85, 4 Tl 2.98

***

Record 5
VASP calculation (PBE) on GaCo after structural relaxation.

Output
Formation enthalpy at 0 K ... 0.0249 eV/atom
Symmetry ... No. 38
DFT total energy ... -0.3705 Ry per atom

Unit cell a=2.7369 b=8.1182 c=7.6367 alpha=90.00 beta=90.00 gamma=90.00
With the nearest neighbours (Å) after each atom.
Element x y z (fractional)
Ga1 0.0000 0.0000 0.0000  4 Co 2.50-2.60, 2 Ga 2.74
Ga2 0.0000 0.5000 0.5000  4 Co 2.50-2.60, 2 Ga 2.74
Ga3 0.5000 0.1776 0.4329  5 Co 2.40-2.57
Ga4 0.5000 0.3224 0.9329  5 Co 2.40-2.57
Ga5 0.5000 0.6776 0.9329  5 Co 2.40-2.57
Ga6 0.5000 0.8224 0.4329  5 Co 2.40-2.57
Co1 0.0000 0.2474 0.6877  5 Ga 2.40-2.50, 2 Co 2.44
Co2 0.0000 0.2526 0.1877  5 Ga 2.40-2.50, 2 Co 2.44
Co3 0.0000 0.7474 0.1877  5 Ga 2.40-2.50, 2 Co 2.44
Co4 0.0000 0.7526 0.6877  5 Ga 2.40-2.50, 2 Co 2.44
Co5 0.5000 0.0000 0.7109  4 Co 2.44, 4 Ga 2.57-2.60
Co6 0.5000 0.5000 0.2109  4 Co 2.44, 4 Ga 2.57-2.60

***

Record 6
VASP calculation (PBE) on BeReAg2 after structural relaxation.

Output
Formation enthalpy at 0 K ... 0.3066 eV/atom
Symmetry ... No. 35
DFT total energy ... -0.3794 Ry per atom

Unit cell a=3.2442 b=4.3058 c=8.4439 alpha=90.00 beta=90.00 gamma=90.00
With the nearest neighbours (Å) after each atom.
Element x y z (fractional)
Be1 0.0000 0.0000 0.0000  2 Re 2.38, 2 Ag 2.48
Be2 0.5000 0.5000 0.0000  2 Re 2.38, 2 Ag 2.48
Re1 0.0000 0.5000 0.7932  2 Be 2.38
Re2 0.5000 0.0000 0.7932  2 Be 2.38
Ag1 0.0000 0.0000 0.5100  6 Ag 2.70-2.92, 2 Re 2.89
Ag2 0.0000 0.5000 0.2226  2 Be 2.48, 4 Ag 2.70
Ag3 0.5000 0.0000 0.2226  2 Be 2.48, 4 Ag 2.70
Ag4 0.5000 0.5000 0.5100  6 Ag 2.70-2.92, 2 Re 2.89

***

Record 7
VASP calculation (PBE) on Hf3Zn2Au8 after structural relaxation.

Output
Formation enthalpy at 0 K ... -0.0688 eV/atom
Symmetry ... No. 166
DFT total energy ... -0.3365 Ry per atom

Unit cell a=10.5751 b=10.5751 c=10.5751 alpha=29.53 beta=29.53 gamma=29.53
With the nearest neighbours (Å) after each atom.
Element x y z (fractional)
Hf1 0.0000 0.0000 0.0000  6 Zn 3.26, 12 Au 3.45-3.54
Hf2 0.1893 0.1893 0.1893  10 Au 2.87-2.99
Hf3 0.8107 0.8107 0.8107  10 Au 2.87-2.99
Zn1 0.3658 0.3658 0.3658  4 Au 2.48-2.69
Zn2 0.6342 0.6342 0.6342  4 Au 2.48-2.69
Au1 0.2274 0.7290 0.7290  4 Au 2.69-2.70, 1 Zn 2.69, 3 Hf 2.94-2.99
Au2 0.2710 0.2710 0.7726  4 Au 2.69-2.70, 1 Zn 2.69, 3 Hf 2.94-2.99
Au3 0.2710 0.7726 0.2710  4 Au 2.69-2.70, 1 Zn 2.69, 3 Hf 2.94-2.99
Au4 0.2840 0.2840 0.2840  1 Zn 2.48
Au5 0.7160 0.7160 0.7160  1 Zn 2.48
Au6 0.7290 0.2274 0.7290  4 Au 2.69-2.70, 1 Zn 2.69, 3 Hf 2.94-2.99
Au7 0.7290 0.7290 0.2274  4 Au 2.69-2.70, 1 Zn 2.69, 3 Hf 2.94-2.99
Au8 0.7726 0.2710 0.2710  4 Au 2.69-2.70, 1 Zn 2.69, 3 Hf 2.94-2.99

***

Record 8
VASP calculation (PBE) on PRuCl3 after structural relaxation.

Output
Relative energy among the computed polymorphs ... 0.00 eV/f.u.
Symmetry ... No. 221
DFT total energy ... -0.2613 Ry per atom
Uncorrected formation energy ... 47.2 kJ/mol of atoms

Unit cell a=4.8198 b=4.8198 c=4.8198 alpha=90.00 beta=90.00 gamma=90.00
With the nearest neighbours (Å) after each atom.
Element x y z (fractional)
P1 0.0000 0.0000 0.0000  12 Cl 3.41
Ru1 0.5000 0.5000 0.5000  6 Cl 2.41
Cl1 0.0000 0.5000 0.5000  2 Ru 2.41
Cl2 0.5000 0.0000 0.5000  2 Ru 2.41
Cl3 0.5000 0.5000 0.0000  2 Ru 2.41

***

Record 9
VASP calculation (PBE) on Sm6HoIn4 after structural relaxation.

Output
Formation enthalpy at 0 K ... -0.1168 eV/atom
Symmetry ... No. 121
DFT total energy ... -0.3016 Ry per atom

Unit cell a=8.1540 b=8.1540 c=8.1540 alpha=122.52 beta=122.52 gamma=85.68
With the nearest neighbours (Å) after each atom.
Element x y z (fractional)
Sm1 0.0000 0.5000 0.5000  4 In 3.04
Sm2 0.0940 0.0940 0.6217  4 In 3.07-3.40
Sm3 0.4723 0.4723 0.3783  4 In 3.07-3.40
Sm4 0.5000 0.0000 0.5000  4 In 3.04
Sm5 0.5277 0.9060 0.0000  4 In 3.07-3.40
Sm6 0.9060 0.5277 0.0000  4 In 3.07-3.40
Ho1 0.0000 0.0000 0.0000  4 In 3.82, 8 Sm 3.92-3.98
In1 0.2706 0.5963 0.0000  2 In 3.01, 5 Sm 3.04-3.30
In2 0.4037 0.4037 0.6743  2 In 3.01, 5 Sm 3.04-3.30
In3 0.5963 0.2706 0.0000  2 In 3.01, 5 Sm 3.04-3.30
In4 0.7294 0.7294 0.3257  2 In 3.01, 5 Sm 3.04-3.30

***

Record 10
VASP calculation (PBE) on Sr4PbAu after structural relaxation.

Output
Formation enthalpy at 0 K ... 0.2907 eV/atom
Relative energy among the computed polymorphs ... 4.66 eV/f.u.
Symmetry ... No. 216
DFT total energy ... -0.1466 Ry per atom

Unit cell a=6.9687 b=6.9687 c=6.9687 alpha=60.00 beta=60.00 gamma=60.00
With the nearest neighbours (Å) after each atom.
Element x y z (fractional)
Sr1 0.1254 0.1254 0.1254  6 Sr 3.47-3.50
Sr2 0.1254 0.1254 0.6237  6 Sr 3.47-3.50
Sr3 0.1254 0.6237 0.1254  6 Sr 3.47-3.50
Sr4 0.6237 0.1254 0.1254  6 Sr 3.47-3.50
Pb1 0.5000 0.5000 0.5000  12 Sr 4.08, 4 Au 4.27
Au1 0.7500 0.7500 0.7500  12 Sr 4.09, 4 Pb 4.27

***

Record 11
VASP calculation (PBE) on Pm4ErAu5 after structural relaxation.

Output
Formation enthalpy at 0 K ... -0.8047 eV/atom
Symmetry ... No. 123
DFT total energy ... -0.3528 Ry per atom

Unit cell a=3.6388 b=3.6388 c=18.6231 alpha=90.00 beta=90.00 gamma=90.00
With the nearest neighbours (Å) after each atom.
Element x y z (fractional)
Pm1 0.0000 0.0000 0.1011  8 Au 3.19
Pm2 0.0000 0.0000 0.3037  8 Au 3.19-3.23
Pm3 0.0000 0.0000 0.6963  8 Au 3.19-3.23
Pm4 0.0000 0.0000 0.8989  8 Au 3.19
Er1 0.0000 0.0000 0.5000  8 Au 3.08
Au1 0.5000 0.5000 0.0000  8 Pm 3.19
Au2 0.5000 0.5000 0.2023  8 Pm 3.19
Au3 0.5000 0.5000 0.4089  4 Er 3.08, 4 Pm 3.23, 1 Au 3.39
Au4 0.5000 0.5000 0.5911  4 Er 3.08, 4 Pm 3.23, 1 Au 3.39
Au5 0.5000 0.5000 0.7977  8 Pm 3.19

***

Record 12
VASP calculation (PBE) on Zr2ScIn2 after structural relaxation.

Output
Formation enthalpy at 0 K ... -0.2147 eV/atom
Relative energy among the computed polymorphs ... 0.00 eV/f.u.
Symmetry ... No. 127
DFT total energy ... -0.4407 Ry per atom

Unit cell a=7.7103 b=7.7103 c=3.9520 alpha=90.00 beta=90.00 gamma=90.00
With the nearest neighbours (Å) after each atom.
Element x y z (fractional)
Zr1 0.1705 0.3295 0.0000  6 In 2.93-3.07
Zr2 0.3295 0.8295 0.0000  6 In 2.93-3.07
Zr3 0.6705 0.1705 0.0000  6 In 2.93-3.07
Zr4 0.8295 0.6705 0.0000  6 In 2.93-3.07
Sc1 0.0000 0.0000 0.5000  4 In 3.02
Sc2 0.5000 0.5000 0.5000  4 In 3.02
In1 0.1314 0.6314 0.5000  1 In 2.87, 6 Zr 2.93-3.07, 2 Sc 3.02
In2 0.3686 0.1314 0.5000  1 In 2.87, 6 Zr 2.93-3.07, 2 Sc 3.02
In3 0.6314 0.8686 0.5000  1 In 2.87, 6 Zr 2.93-3.07, 2 Sc 3.02
In4 0.8686 0.3686 0.5000  1 In 2.87, 6 Zr 2.93-3.07, 2 Sc 3.02

***

no.,size of the total moment (μB/f.u.)
1,0.00
2,0.00
3,0.00
4,6.45
5,0.99
6,0.00
7,0.00
8,0.49
9,0.00
10,0.01
11,0.00
12,0.00